! Tb2PuRu3 PBE optimized geometry; values from VASP
&SYSTEM
  ibrav = 0, nat = 12, ntyp = 3
/
ATOMIC_SPECIES
Ru 101.07 Ru.upf
Tb 158.93 Tb.upf
Pu 244.00 Pu.upf
CELL_PARAMETERS angstrom
-1.7187 -3.2546 3.0717
2.7363 -6.8099 -1.9528
5.4022 1.0011 4.0807
ATOMIC_POSITIONS angstrom
Ru 3.6718 -4.2680 5.0102
Ru 5.6533 -4.2579 2.3855
Ru 0.7664 -4.8056 2.8142
Ru 2.7479 -4.7954 0.1895
Ru 0.4328 -1.3879 2.5120
Ru 3.2507 -0.8656 4.6404
Tb 3.0357 -2.8477 2.4177
Tb 2.7011 0.5005 2.0403
Tb 3.3840 -6.2157 2.7819
Tb 0.0000 0.0000 0.0000
Pu 0.6912 -6.7284 0.7336
Pu 0.3263 -3.3361 0.3854
! total moment = 7.32 μB per cell
! total energy = -8.8403 eV per atom
! formation enthalpy at 0 K = -0.27 eV/atom
! crystal system = orthorhombic